First-principles (PBE-GGA) data for a relaxed structure of Ti2SbCl, as listed in Alexandria via LeMat-Bulk.

Computed properties:
Polymorph energy (0 for the lowest one) ... 258 meV/atom

```
Ti2SbCl
1.0
5.2148 0.0000 0.0000
0.0000 5.2148 0.0000
2.6074 2.6074 7.3087
Sb Cl Ti
2 2 4
Direct
0.0000 0.0000 0.0000
0.7500 0.2500 0.5000
0.5000 0.5000 0.0000
0.2500 0.7500 0.5000
0.5647 0.1250 0.2500
0.1853 0.6250 0.2500
0.3750 0.4353 0.7500
0.8750 0.8147 0.7500
```

=====

First-principles (PBE-GGA) data for a relaxed structure of Ti2SbCl, as listed in Alexandria via LeMat-Bulk.

Computed properties:
Polymorph energy (0 for the lowest one) ... 0 meV/atom

```
Ti2SbCl
1.0
0.0000 3.3248 3.3248
3.3248 0.0000 3.3248
3.3248 3.3248 0.0000
Sb Cl Ti
1 1 2
Direct
0.5000 0.5000 0.5000
0.0000 0.0000 0.0000
0.2500 0.2500 0.2500
0.7500 0.7500 0.7500
```

=====

First-principles (PBE-GGA) data for a relaxed structure of Ti2Sb2Cl, as listed in Alexandria via LeMat-Bulk.

```
Ti2Sb2Cl
1.0
7.5803 0.0000 0.0000
0.0000 7.5803 0.0000
0.0000 0.0000 3.6516
Sb Cl Ti
4 2 4
Direct
0.1447 0.6447 0.5000
0.6447 0.8553 0.5000
0.8553 0.3553 0.5000
0.3553 0.1447 0.5000
0.0000 0.0000 0.0000
0.5000 0.5000 0.0000
0.3534 0.8534 0.0000
0.8534 0.6466 0.0000
0.6466 0.1466 0.0000
0.1466 0.3534 0.0000
```

=====

First-principles (PBE-GGA) data for a relaxed structure of TiSb2Cl, as listed in Alexandria via LeMat-Bulk.

Computed properties:
Polymorph energy (0 for the lowest one) ... 123 meV/atom

```
TiSb2Cl
1.0
0.0000 3.5674 3.5674
3.5674 0.0000 3.5674
3.5674 3.5674 0.0000
Sb Cl Ti
2 1 1
Direct
0.2500 0.2500 0.2500
0.7500 0.7500 0.7500
0.0000 0.0000 0.0000
0.5000 0.5000 0.5000
```

=====

First-principles (PBE-GGA) data for a relaxed structure of TiSbCl3, as listed in Alexandria via LeMat-Bulk.

Computed properties:
Polymorph energy (0 for the lowest one) ... 839 meV/atom

```
TiSbCl3
1.0
5.4282 0.0000 0.0000
0.0000 5.4282 0.0000
0.0000 0.0000 5.4282
Sb Cl Ti
1 3 1
Direct
0.0000 0.0000 0.0000
0.0000 0.5000 0.0000
0.0000 0.0000 0.5000
0.5000 0.0000 0.0000
0.5000 0.5000 0.5000
```

=====

First-principles (PBE-GGA) data for a relaxed structure of Ti2TlSbCl, as listed in Alexandria via LeMat-Bulk.

```
Ti2TlSbCl
1.0
5.3505 0.0000 0.0000
0.0000 5.1328 0.0000
0.0000 0.0000 5.3505
Sb Tl Cl Ti
1 1 1 2
Direct
0.5000 0.5000 0.5000
0.0000 0.0000 0.0000
0.0000 0.5000 0.0000
0.0000 0.0000 0.5000
0.5000 0.0000 0.0000
```

=====

First-principles (PBE-GGA) data for a relaxed structure of ZrTiSb2Cl, as listed in Alexandria via LeMat-Bulk.

```
ZrTiSb2Cl
1.0
-0.2325 4.2607 2.8678
-4.4355 -1.6554 2.0998
2.6440 -2.3618 3.7233
Sb Cl Zr Ti
2 1 1 1
Direct
0.0000 0.0000 0.5000
0.5000 0.0000 0.0000
0.5000 0.5000 0.5000
0.0000 0.5000 0.0000
0.0000 0.0000 0.0000
```

=====

First-principles (PBE-GGA) data for a relaxed structure of TlSbCl2, as listed in Alexandria via LeMat-Bulk.

Computed properties:
Polymorph energy (0 for the lowest one) ... 183 meV/atom

```
TlSbCl2
1.0
-1.4739 -2.7306 -1.3900
-0.2264 -2.3676 4.8914
-5.5708 2.5177 0.9608
Sb Tl Cl
1 1 2
Direct
0.0000 0.0000 0.3754
0.5000 0.5000 0.8465
0.0000 0.0000 0.9397
0.5000 0.5000 0.3384
```

=====

First-principles (PBE-GGA) data for a relaxed structure of TlSbCl2, as listed in Alexandria via LeMat-Bulk.

Computed properties:
Polymorph energy (0 for the lowest one) ... 57 meV/atom

```
TlSbCl2
1.0
-3.3402 -3.0740 -0.0769
0.3430 -0.2834 -3.5737
4.6855 -5.1112 0.7999
Sb Tl Cl
1 1 2
Direct
0.5000 0.2500 0.2500
0.5000 0.7500 0.7500
0.0000 0.2440 0.0083
0.0000 0.2560 0.4917
```

=====

First-principles (PBE-GGA) data for a relaxed structure of TlSbCl2, as listed in Alexandria via LeMat-Bulk.

Computed properties:
Polymorph energy (0 for the lowest one) ... 364 meV/atom

```
TlSbCl2
1.0
5.6219 -0.0128 0.0000
1.5159 5.4137 0.0000
-3.5689 -2.7005 3.4024
Sb Tl Cl
1 1 2
Direct
0.2500 0.7500 0.5000
0.7500 0.2500 0.5000
0.0000 0.0000 0.0000
0.5000 0.5000 0.0000
```

=====

First-principles (PBE-GGA) data for a relaxed structure of Tl2Sb2Cl, as listed in Alexandria via LeMat-Bulk.

Computed properties:
Polymorph energy (0 for the lowest one) ... 0 meV/atom

```
Tl2Sb2Cl
1.0
-0.2072 3.6518 -2.1365
-2.1981 1.7349 3.1783
6.7690 5.4808 4.5123
Sb Tl Cl
2 2 1
Direct
0.7500 0.2500 0.5000
0.2500 0.7500 0.5000
0.4081 0.4081 0.1838
0.5919 0.5919 0.8162
0.0000 0.0000 0.0000
```

=====

First-principles (PBE-GGA) data for a relaxed structure of TlSb2Cl2, as listed in Alexandria via LeMat-Bulk.

```
TlSb2Cl2
1.0
6.2876 0.3961 -0.7504
0.4231 6.3089 -0.5222
-2.8823 -3.0426 4.7633
Tl Sb Cl
1 2 2
Direct
0.0000 0.0000 0.0000
0.6380 0.6380 0.0000
0.3620 0.3620 0.0000
0.2500 0.7500 0.5000
0.7500 0.2500 0.5000
```

=====

First-principles (PBE-GGA) data for a relaxed structure of TlSbCl2, as listed in Alexandria via LeMat-Bulk.

Computed properties:
Polymorph energy (0 for the lowest one) ... 43 meV/atom

```
TlSbCl2
1.0
6.1476 -0.0088 -0.0160
1.8638 5.8583 0.0160
-3.1730 -4.0652 3.3466
Sb Tl Cl
1 1 2
Direct
0.7500 0.2500 0.5000
0.2500 0.7500 0.5000
0.9395 0.9395 0.0000
0.5605 0.5605 0.0000
```

=====

First-principles (PBE-GGA) data for a relaxed structure of TlSbCl5, as listed in Alexandria via LeMat-Bulk.

```
TlSbCl5
1.0
7.4305 -0.0148 0.0133
2.3434 7.0513 0.0133
3.5200 2.5342 9.4634
Tl Sb Cl
2 2 10
Direct
0.5386 0.4614 0.2500
0.4614 0.5386 0.7500
0.0000 0.0000 0.0000
0.0000 0.0000 0.5000
0.8121 0.7363 0.1130
0.2564 0.6841 0.4864
0.7363 0.8121 0.6130
0.9514 0.0486 0.2500
0.3159 0.7436 0.0136
0.6841 0.2564 0.9864
0.0486 0.9514 0.7500
0.2637 0.1879 0.3870
0.7436 0.3159 0.5136
0.1879 0.2637 0.8870
```

=====

First-principles (PBE-GGA) data for a relaxed structure of TlSbCl2, as listed in Alexandria via LeMat-Bulk.

Computed properties:
Polymorph energy (0 for the lowest one) ... 226 meV/atom

```
TlSbCl2
1.0
-7.2085 -0.0173 -3.1628
-5.8217 -5.2326 -0.8329
5.2367 4.1540 4.1578
Sb Tl Cl
1 1 2
Direct
0.5046 0.5046 0.0000
0.2878 0.7878 0.5000
0.9956 0.9956 0.0000
0.7120 0.2120 0.5000
```

=====

First-principles (PBE-GGA) data for a relaxed structure of TlSbCl4, as listed in Alexandria via LeMat-Bulk.

Computed properties:
Polymorph energy (0 for the lowest one) ... 3 meV/atom

```
TlSbCl4
1.0
7.7814 -0.1760 0.0000
-1.2319 7.0311 0.0000
-3.2747 -3.4276 7.4892
Tl Sb Cl
2 2 8
Direct
0.3853 0.6353 0.2706
0.6147 0.3647 0.7294
0.0751 0.8251 0.6503
0.9249 0.1749 0.3497
0.9606 0.2703 0.1183
0.6577 0.8480 0.1183
0.2989 0.5882 0.6060
0.7011 0.4118 0.3940
0.1929 0.9822 0.3940
0.3423 0.1520 0.8817
0.8071 0.0178 0.6060
0.0394 0.7297 0.8817
```

=====

First-principles (PBE-GGA) data for a relaxed structure of TlSbCl2, as listed in Alexandria via LeMat-Bulk.

Computed properties:
Polymorph energy (0 for the lowest one) ... 92 meV/atom

```
TlSbCl2
1.0
-0.3515 4.3782 2.6509
0.3001 1.6937 4.8333
6.7691 0.9764 -0.8201
Sb Tl Cl
1 1 2
Direct
0.7500 0.7500 0.7500
0.2500 0.2500 0.2500
0.9654 0.9654 0.9864
0.5346 0.5346 0.5136
```

=====

First-principles (PBE-GGA) data for a relaxed structure of Tl3SbCl, as listed in Alexandria via LeMat-Bulk.

Computed properties:
Polymorph energy (0 for the lowest one) ... 297 meV/atom

```
Tl3SbCl
1.0
6.1759 0.0000 0.0000
0.0000 6.1759 0.0000
0.0000 0.0000 6.1759
Sb Tl Cl
1 3 1
Direct
0.0000 0.0000 0.0000
0.0000 0.5000 0.0000
0.0000 0.0000 0.5000
0.5000 0.0000 0.0000
0.5000 0.5000 0.5000
```

=====

First-principles (PBE-GGA) data for a relaxed structure of Tl3SbCl, as listed in Alexandria via LeMat-Bulk.

Computed properties:
Polymorph energy (0 for the lowest one) ... 269 meV/atom

```
Tl3SbCl
1.0
5.7857 0.0000 0.0000
0.0000 5.7857 0.0000
0.0000 0.0000 5.7857
Sb Tl Cl
1 3 1
Direct
0.5000 0.5000 0.5000
0.0000 0.5000 0.0000
0.0000 0.0000 0.5000
0.5000 0.0000 0.0000
0.0000 0.0000 0.0000
```

=====

First-principles (PBE-GGA) data for a relaxed structure of TlSbCl2, as listed in Alexandria via LeMat-Bulk.

Computed properties:
Polymorph energy (0 for the lowest one) ... 261 meV/atom

```
TlSbCl2
1.0
10.9121 -0.0035 -0.0021
10.3237 3.5348 -0.0021
10.3237 1.7167 3.0899
Sb Tl Cl
1 1 2
Direct
0.5100 0.5100 0.5100
0.7384 0.7384 0.7384
0.0128 0.0128 0.0128
0.2388 0.2388 0.2388
```

=====

Q: Which raw formation energy values were calculated for the entries above? A: -0.091; -0.349; -0.474; 0.151; 0.356; 0.953; 0.139; -0.375; -0.501; -0.194; -0.317; -0.117; -0.515; -0.785; -0.332; -0.933; -0.466; 0.014; -0.014; -0.297, in eV/atom.
Q: Which calculated total energy values were calculated for the entries above? A: -5.531; -5.789; -5.650; -4.346; -3.156; -3.872; -5.168; -2.921; -3.046; -2.740; -3.282; -2.978; -3.060; -3.031; -2.878; -3.245; -3.011; -2.600; -2.628; -2.843, in eV/atom.
Q: Which total moment values were calculated for the entries above? A: 3.89; 0.00; 0.00; 0.93; 0.31; 1.46; 0.00; 0.00; 0.00; 0.00; 0.00; 0.00; 0.00; 0.00; 1.06; 0.00; 0.00; 0.00; 0.00; 0.00, in μB/f.u..